DFT (PBE) results for crystalline Pm2SmSn at its relaxed geometry.

```
Pm2SmSn
1.0
-3.6456 0.3398 -4.1479
-5.4257 0.0416 1.0821
-2.9317 4.6344 -0.7336
Sn Sm Pm
1 1 2
direct
0.5000 0.5000 0.5000
0.0000 0.0000 0.0000
0.2500 0.2500 0.2500
0.7500 0.7500 0.7500
```

Summary:
For the formation energy from the elements, the calculation gives -0.2567 eV per atom. As for the space group: No. 225.

=====

DFT (PBE) results for crystalline PmSm3Sn at its relaxed geometry.

```
PmSm3Sn
1.0
7.8558 -0.5422 0.1088
-4.3284 6.5782 -0.1088
-3.5740 -1.9601 6.7383
Pm Sm Sn
2 6 2
direct
0.4751 0.9858 0.9893
0.9965 0.4858 0.0107
0.0481 0.2774 0.7126
0.0481 0.8355 0.2706
0.5648 0.7774 0.7294
0.1009 0.2810 0.3199
0.5648 0.3355 0.2874
0.9612 0.7810 0.6801
0.5942 0.7786 0.3156
0.4630 0.2786 0.6844
```

Summary:
For the formation energy from the elements, the calculation gives 0.0707 eV per atom. As for the space group: No. 46.

=====

DFT (PBE) results for crystalline PmSm3Sn12 at its relaxed geometry.

```
PmSm3Sn12
1.0
-1.1243 -0.3305 -4.6250
-3.4154 -3.1597 1.0561
-12.3799 14.0522 2.0052
Pm Sm Sn
1 3 12
direct
0.0000 0.0000 0.0000
0.0000 0.0000 0.2501
0.0000 0.0000 0.5000
0.0000 0.0000 0.7499
0.5000 0.5000 0.0000
0.5000 0.5000 0.2502
0.5000 0.5000 0.5000
0.5000 0.5000 0.7498
0.5000 0.0000 0.1255
0.5000 0.0000 0.3751
0.5000 0.0000 0.6249
0.5000 0.0000 0.8745
0.0000 0.5000 0.1255
0.0000 0.5000 0.3751
0.0000 0.5000 0.6249
0.0000 0.5000 0.8745
```

Summary:
For the formation energy from the elements, the calculation gives -0.4835 eV per atom. As for the space group: No. 123.